Here is crystalline Ca3TiMn at its relaxed geometry from Alexandria. Energies are from PBE.

## Properties
space group	Pm-3m (221)
energy relative to the elements	0.908	eV/atom
total magnetic moment	4.80	μB/f.u.

Unit cell a=5.454 b=5.454 c=5.454 alpha=90.00 beta=90.00 gamma=90.00
Sites, in units of the cell vectors:
Ca (0.000, 0.000, 0.500)
Ca (0.000, 0.500, 0.000)
Ca (0.500, 0.000, 0.000)
Ti (0.500, 0.500, 0.500)
Mn (0.000, 0.000, 0.000)

Here is crystalline TbSnRuPt at its relaxed geometry from Alexandria. Energies are from PBE.

## Properties
space group	F-43m (216)
energy relative to the elements	-0.554	eV/atom
total magnetic moment	0.00	μB/f.u.

Unit cell a=6.718 b=6.718 c=6.718 alpha=90.00 beta=90.00 gamma=90.00
Sites, in units of the cell vectors:
Tb (0.000, 0.000, 0.000)
Tb (0.000, 0.500, 0.500)
Tb (0.500, 0.000, 0.500)
Tb (0.500, 0.500, 0.000)
Sn (0.000, 0.000, 0.500)
Sn (0.000, 0.500, 0.000)
Sn (0.500, 0.000, 0.000)
Sn (0.500, 0.500, 0.500)
Ru (0.250, 0.250, 0.750)
Ru (0.250, 0.750, 0.250)
Ru (0.750, 0.250, 0.250)
Ru (0.750, 0.750, 0.750)
Pt (0.250, 0.250, 0.250)
Pt (0.250, 0.750, 0.750)
Pt (0.750, 0.250, 0.750)
Pt (0.750, 0.750, 0.250)

Here is crystalline Nd5Pb2O12 at its relaxed geometry from Alexandria. Energies are from PBE.

## Properties
space group	C2/m (12)
uncorrected formation energy	-2.462	eV per atom
total magnetic moment	1.22	μB/f.u.

Unit cell a=7.258 b=7.258 c=7.727 alpha=105.64 beta=105.64 gamma=51.64
Sites, in units of the cell vectors:
Nd (0.000, 0.000, 0.000)
Nd (0.301, 0.301, 0.138)
Nd (0.304, 0.304, 0.663)
Nd (0.696, 0.696, 0.337)
Nd (0.699, 0.699, 0.862)
Pb (0.245, 0.755, 0.500)
Pb (0.755, 0.245, 0.500)
O (0.002, 0.002, 0.304)
O (0.094, 0.597, 0.928)
O (0.099, 0.556, 0.408)
O (0.403, 0.906, 0.072)
O (0.444, 0.901, 0.592)
O (0.498, 0.498, 0.699)
O (0.502, 0.502, 0.301)
O (0.556, 0.099, 0.408)
O (0.597, 0.094, 0.928)
O (0.901, 0.444, 0.592)
O (0.906, 0.403, 0.072)
O (0.998, 0.998, 0.696)

Here is crystalline HgSe2S2 at its relaxed geometry from Alexandria. Energies are from PBE.

## Properties
space group	P4/mbm (127)
uncorrected formation energy	0.252	eV per atom
total magnetic moment	0.00	μB/f.u.

Unit cell a=8.375 b=8.375 c=4.010 alpha=90.00 beta=90.00 gamma=90.00
Sites, in units of the cell vectors:
Hg (0.000, 0.000, 0.000)
Hg (0.500, 0.500, 0.000)
Se (0.250, 0.250, 0.000)
Se (0.250, 0.750, 0.000)
Se (0.750, 0.250, 0.000)
Se (0.750, 0.750, 0.000)
S (0.153, 0.347, 0.500)
S (0.347, 0.847, 0.500)
S (0.653, 0.153, 0.500)
S (0.847, 0.653, 0.500)

Here is crystalline TlCo2Ni at its relaxed geometry from Alexandria. Energies are from PBE.

## Properties
space group	Cmmm (65)
energy relative to the elements	0.538	eV/atom
total magnetic moment	3.25	μB/f.u.

Unit cell a=5.257 b=7.439 c=2.865 alpha=90.00 beta=90.00 gamma=90.00
Sites, in units of the cell vectors:
Tl (0.000, 0.000, 0.000)
Tl (0.500, 0.500, 0.000)
Co (0.250, 0.250, 0.500)
Co (0.250, 0.750, 0.500)
Co (0.750, 0.250, 0.500)
Co (0.750, 0.750, 0.500)
Ni (0.000, 0.500, 0.000)
Ni (0.500, 0.000, 0.000)

Here is crystalline Pm3Se3F2 at its relaxed geometry from Alexandria. Energies are from PBE.

## Properties
space group	Cmcm (63)
uncorrected formation energy	-2.529	eV per atom
total magnetic moment	0.00	μB/f.u.

Unit cell a=6.711 b=6.711 c=14.114 alpha=90.00 beta=90.00 gamma=146.48
Sites, in units of the cell vectors:
Pm (0.125, 0.875, 0.550)
Pm (0.125, 0.875, 0.950)
Pm (0.151, 0.849, 0.250)
Pm (0.849, 0.151, 0.750)
Pm (0.875, 0.125, 0.050)
Pm (0.875, 0.125, 0.450)
Se (0.178, 0.822, 0.750)
Se (0.450, 0.550, 0.610)
Se (0.450, 0.550, 0.890)
Se (0.550, 0.450, 0.110)
Se (0.550, 0.450, 0.390)
Se (0.822, 0.178, 0.250)
F (0.255, 0.745, 0.071)
F (0.255, 0.745, 0.429)
F (0.745, 0.255, 0.571)
F (0.745, 0.255, 0.929)

Here is crystalline As2IrPb at its relaxed geometry from Alexandria. Energies are from PBE.

## Properties
space group	P4mm (99)
energy relative to the elements	0.209	eV/atom
total magnetic moment	0.00	μB/f.u.

Unit cell a=3.359 b=3.359 c=7.361 alpha=90.00 beta=90.00 gamma=90.00
Sites, in units of the cell vectors:
As (0.000, 0.000, 0.000)
As (0.500, 0.500, 0.220)
Ir (0.000, 0.000, 0.363)
Pb (0.500, 0.500, 0.649)

Here is crystalline TbMgGa2 at its relaxed geometry from Alexandria. Energies are from PBE.

## Properties
space group	R-3m (166)
energy relative to the elements	-0.400	eV/atom
total magnetic moment	0.00	μB/f.u.

Unit cell a=4.474 b=4.474 c=15.043 alpha=90.00 beta=90.00 gamma=120.00
Sites, in units of the cell vectors:
Tb (0.000, 0.000, 0.000)
Tb (0.333, 0.667, 0.667)
Tb (0.667, 0.333, 0.333)
Mg (0.000, 0.000, 0.500)
Mg (0.333, 0.667, 0.167)
Mg (0.667, 0.333, 0.833)
Ga (0.000, 0.000, 0.224)
Ga (0.000, 0.000, 0.776)
Ga (0.333, 0.667, 0.442)
Ga (0.333, 0.667, 0.891)
Ga (0.667, 0.333, 0.109)
Ga (0.667, 0.333, 0.558)

Among the records above, which one has the highest total magnetic moment?
Ca3TiMn